A relaxed structure of YAsBr2, computed with GGA-PBE.

Values from the calculation:
Symmetry: R-3m, No. 166
M_tot (μB per formula unit): 0.64
ΔE_f (raw) (eV/atom): -0.636
E_tot (hartree per atom): -0.1562
Fermi-level density of states (states/eV per cell): 3.5

Cell lengths 10.602, 10.602, 10.602 Å; angles 19.84, 19.84, 19.84 degrees
Last column: magnetic moment on the atom in μB.
Sites, in units of the cell vectors:
1 Y 0.250 0.250 0.250  -0.11
2 As 0.750 0.750 0.750  0.38
3 Br 0.978 0.978 0.978  0.00
4 Br 0.522 0.522 0.522  0.00